1.
{
  "formula": "PaFeP2Rh2",
  "functional": "GGA-PBE",
  "state": "optimized geometry",
  "n_ef_per_ev_cell": 4.52,
  "e_tot_ev_per_atom": -7.91,
  "cell": [[-1.907, 1.907, 6.947], [1.907, -1.907, 6.947], [1.907, 1.907, -6.947]],
  "species": ["Pa", "Fe", "P", "P", "Rh", "Rh"],
  "fractional_positions": [[0.000, 0.000, 0.000], [0.500, 0.500, 0.000], [0.347, 0.347, 0.000], [0.653, 0.653, 0.000], [0.250, 0.750, 0.500], [0.750, 0.250, 0.500]]
}

2.
{
  "formula": "PaFeP2Ru",
  "functional": "GGA-PBE",
  "state": "optimized geometry",
  "n_ef_per_ev_cell": 3.82,
  "e_tot_ev_per_atom": -8.51,
  "cell": [[-1.971, 1.971, 4.779], [1.971, -1.971, 4.779], [1.971, 1.971, -4.779]],
  "species": ["Pa", "Fe", "P", "P", "Ru"],
  "fractional_positions": [[0.000, 0.000, 0.000], [0.750, 0.250, 0.500], [0.378, 0.378, 0.000], [0.622, 0.622, 0.000], [0.250, 0.750, 0.500]]
}

3.
{
  "formula": "PaTaFe2P2",
  "functional": "GGA-PBE",
  "state": "optimized geometry",
  "n_ef_per_ev_cell": 5.74,
  "e_tot_ev_per_atom": -8.90,
  "cell": [[3.782, 0.000, 0.000], [-1.891, 3.275, 0.000], [0.000, 0.000, 7.196]],
  "species": ["Pa", "Ta", "Fe", "Fe", "P", "P"],
  "fractional_positions": [[0.000, 0.000, 0.000], [0.000, 0.000, 0.500], [0.333, 0.667, 0.755], [0.667, 0.333, 0.245], [0.333, 0.667, 0.286], [0.667, 0.333, 0.714]]
}

4.
{
  "formula": "PaFeTcP2",
  "functional": "GGA-PBE",
  "state": "optimized geometry",
  "n_ef_per_ev_cell": 3.50,
  "e_tot_ev_per_atom": -8.68,
  "cell": [[-2.003, 2.003, 4.733], [2.003, -2.003, 4.733], [2.003, 2.003, -4.733]],
  "species": ["Pa", "Fe", "Tc", "P", "P"],
  "fractional_positions": [[0.000, 0.000, 0.000], [0.750, 0.250, 0.500], [0.250, 0.750, 0.500], [0.372, 0.372, 0.000], [0.628, 0.628, 0.000]]
}

5.
{
  "formula": "PaTiFe2P2",
  "functional": "GGA-PBE",
  "state": "optimized geometry",
  "n_ef_per_ev_cell": 2.85,
  "e_tot_ev_per_atom": -8.46,
  "cell": [[3.921, 0.000, 0.000], [-1.960, 3.395, 0.000], [0.000, 0.000, 6.528]],
  "species": ["Pa", "Ti", "Fe", "Fe", "P", "P"],
  "fractional_positions": [[0.000, 0.000, 0.000], [0.000, 0.000, 0.500], [0.333, 0.667, 0.642], [0.667, 0.333, 0.358], [0.333, 0.667, 0.272], [0.667, 0.333, 0.728]]
}

6.
{
  "formula": "PaVFeP2",
  "functional": "GGA-PBE",
  "state": "optimized geometry",
  "n_ef_per_ev_cell": 6.40,
  "e_tot_ev_per_atom": -8.40,
  "cell": [[-1.965, 1.965, 4.844], [1.965, -1.965, 4.844], [1.965, 1.965, -4.844]],
  "species": ["Pa", "V", "Fe", "P", "P"],
  "fractional_positions": [[0.000, 0.000, 0.000], [0.250, 0.750, 0.500], [0.750, 0.250, 0.500], [0.374, 0.374, 0.000], [0.626, 0.626, 0.000]]
}

7.
{
  "formula": "ZrPaFe2P2",
  "functional": "GGA-PBE",
  "state": "optimized geometry",
  "n_ef_per_ev_cell": 7.86,
  "e_tot_ev_per_atom": -8.57,
  "cell": [[3.815, 0.000, 0.000], [-1.907, 3.304, 0.000], [0.000, 0.000, 7.440]],
  "species": ["Zr", "Pa", "Fe", "Fe", "P", "P"],
  "fractional_positions": [[0.000, 0.000, 0.000], [0.000, 0.000, 0.500], [0.333, 0.667, 0.265], [0.667, 0.333, 0.735], [0.333, 0.667, 0.776], [0.667, 0.333, 0.224]]
}

8.
{
  "formula": "FePPb2",
  "functional": "GGA-PBE",
  "state": "optimized geometry",
  "n_ef_per_ev_cell": 2.34,
  "e_tot_ev_per_atom": -5.40,
  "cell": [[3.281, -1.893, 0.000], [3.281, 1.893, 0.000], [-2.168, 0.000, 7.369]],
  "species": ["Fe", "P", "Pb", "Pb"],
  "fractional_positions": [[0.000, 0.000, 0.000], [0.667, 0.667, 0.999], [0.241, 0.241, 0.721], [0.425, 0.425, 0.279]]
}

9.
{
  "formula": "FePPb2",
  "functional": "GGA-PBE",
  "state": "optimized geometry",
  "n_ef_per_ev_cell": 2.85,
  "e_tot_ev_per_atom": -5.21,
  "cell": [[3.164, 0.000, 0.000], [0.000, 3.164, 0.000], [0.000, 0.000, 8.427]],
  "species": ["Fe", "P", "Pb", "Pb"],
  "fractional_positions": [[0.000, 0.000, 0.000], [0.500, 0.500, 0.090], [0.000, 0.000, 0.357], [0.500, 0.500, 0.738]]
}

10.
{
  "formula": "Fe4PPb",
  "functional": "GGA-PBE",
  "state": "optimized geometry",
  "n_ef_per_ev_cell": 4.98,
  "e_tot_ev_per_atom": -6.74,
  "cell": [[0.000, 3.548, 3.548], [3.548, 0.000, 3.548], [3.548, 3.548, 0.000]],
  "species": ["Fe", "Fe", "Fe", "Fe", "P", "Pb"],
  "fractional_positions": [[0.125, 0.125, 0.125], [0.125, 0.125, 0.624], [0.125, 0.624, 0.125], [0.624, 0.125, 0.125], [0.500, 0.500, 0.500], [0.750, 0.750, 0.750]]
}

11.
{
  "formula": "FePPb2",
  "functional": "GGA-PBE",
  "state": "optimized geometry",
  "n_ef_per_ev_cell": 4.01,
  "e_tot_ev_per_atom": -4.68,
  "cell": [[-2.094, 2.094, 5.195], [2.094, -2.094, 5.195], [2.094, 2.094, -5.195]],
  "species": ["Fe", "P", "Pb", "Pb"],
  "fractional_positions": [[0.000, 0.000, 0.000], [0.250, 0.750, 0.500], [0.500, 0.500, 0.000], [0.750, 0.250, 0.500]]
}

12.
{
  "formula": "FePPb2",
  "functional": "GGA-PBE",
  "state": "optimized geometry",
  "n_ef_per_ev_cell": 2.51,
  "e_tot_ev_per_atom": -5.14,
  "cell": [[4.354, 0.000, 0.000], [0.000, 3.955, 0.000], [-2.154, 0.000, 5.160]],
  "species": ["Fe", "P", "Pb", "Pb"],
  "fractional_positions": [[0.000, 0.000, 0.000], [0.905, 0.500, 0.799], [0.306, 0.000, 0.605], [0.605, 0.500, 0.202]]
}

13.
{
  "formula": "FePPb2",
  "functional": "GGA-PBE",
  "state": "optimized geometry",
  "n_ef_per_ev_cell": 6.30,
  "e_tot_ev_per_atom": -4.56,
  "cell": [[0.000, 3.570, 3.570], [3.570, 0.000, 3.570], [3.570, 3.570, 0.000]],
  "species": ["Fe", "P", "Pb", "Pb"],
  "fractional_positions": [[0.000, 0.000, 0.000], [0.750, 0.750, 0.750], [0.250, 0.250, 0.250], [0.500, 0.500, 0.500]]
}

14.
{
  "formula": "FePPb2",
  "functional": "GGA-PBE",
  "state": "optimized geometry",
  "n_ef_per_ev_cell": 3.46,
  "e_tot_ev_per_atom": -4.76,
  "cell": [[3.324, -1.916, 0.000], [3.324, 1.916, 0.000], [-2.192, 0.000, 7.163]],
  "species": ["Fe", "P", "Pb", "Pb"],
  "fractional_positions": [[0.000, 0.000, 0.000], [0.500, 0.500, 0.500], [0.249, 0.249, 0.749], [0.751, 0.751, 0.251]]
}

15.
{
  "formula": "FePPb2",
  "functional": "GGA-PBE",
  "state": "optimized geometry",
  "n_ef_per_ev_cell": 2.93,
  "e_tot_ev_per_atom": -5.11,
  "cell": [[-1.917, 1.925, 6.709], [1.917, -1.925, 6.709], [1.917, 1.925, -6.709]],
  "species": ["Fe", "P", "Pb", "Pb"],
  "fractional_positions": [[0.000, 0.000, 0.000], [0.926, 0.426, 0.500], [0.331, 0.831, 0.500], [0.598, 0.598, 0.000]]
}

16.
{
  "formula": "FePPb2",
  "functional": "GGA-PBE",
  "state": "optimized geometry",
  "n_ef_per_ev_cell": 12.75,
  "e_tot_ev_per_atom": -4.47,
  "cell": [[-3.080, 3.080, 5.985], [3.080, -3.080, 5.985], [3.080, 3.080, -5.985]],
  "species": ["Fe", "Fe", "P", "P", "Pb", "Pb", "Pb", "Pb"],
  "fractional_positions": [[0.000, 0.000, 0.000], [0.750, 0.250, 0.500], [0.250, 0.750, 0.500], [0.500, 0.500, 0.000], [0.103, 0.625, 0.978], [0.375, 0.353, 0.478], [0.647, 0.125, 0.022], [0.875, 0.897, 0.522]]
}

17.
{
  "formula": "FePPb2",
  "functional": "GGA-PBE",
  "state": "optimized geometry",
  "n_ef_per_ev_cell": 4.40,
  "e_tot_ev_per_atom": -4.73,
  "cell": [[3.479, -3.490, 0.000], [3.479, 3.490, 0.000], [0.000, 0.000, 3.623]],
  "species": ["Fe", "P", "Pb", "Pb"],
  "fractional_positions": [[0.000, 0.000, 0.000], [0.500, 0.500, 0.000], [0.000, 0.500, 0.500], [0.500, 0.000, 0.500]]
}

18.
{
  "formula": "FePPb2",
  "functional": "GGA-PBE",
  "state": "optimized geometry",
  "n_ef_per_ev_cell": 4.92,
  "e_tot_ev_per_atom": -4.63,
  "cell": [[-2.267, 2.267, 4.392], [2.267, -2.267, 4.392], [2.267, 2.267, -4.392]],
  "species": ["Fe", "P", "Pb", "Pb"],
  "fractional_positions": [[0.000, 0.000, 0.000], [0.500, 0.500, 0.000], [0.250, 0.750, 0.500], [0.750, 0.250, 0.500]]
}

19.
{
  "formula": "Fe2PRuPb",
  "functional": "GGA-PBE",
  "state": "optimized geometry",
  "n_ef_per_ev_cell": 7.24,
  "e_tot_ev_per_atom": -6.67,
  "cell": [[4.186, 0.000, 0.000], [0.000, 4.186, 0.000], [0.000, 0.000, 4.421]],
  "species": ["Fe", "Fe", "P", "Ru", "Pb"],
  "fractional_positions": [[0.000, 0.500, 0.000], [0.500, 0.000, 0.000], [0.000, 0.000, 0.000], [0.000, 0.000, 0.500], [0.500, 0.500, 0.500]]
}

20.
{
  "formula": "Fe2SbPPb",
  "functional": "GGA-PBE",
  "state": "optimized geometry",
  "n_ef_per_ev_cell": 8.92,
  "formation_energy_uncorrected_ev_per_atom": 1.53,
  "cell": [[4.978, 0.000, 0.000], [0.000, 4.978, 0.000], [0.000, 0.000, 5.157]],
  "species": ["Fe", "Fe", "Sb", "P", "Pb"],
  "fractional_positions": [[0.000, 0.500, 0.000], [0.500, 0.000, 0.000], [0.000, 0.000, 0.500], [0.500, 0.500, 0.500], [0.500, 0.500, 0.000]]
}

Volume values, unit Å³/cell, following the record order: 101; 74; 89; 76; 87; 75; 94; 92; 84; 89; 91; 89; 91; 91; 99; 227; 88; 90; 77; 128.